1.
! La7NdMg4 (GGA-PBE, optimized geometry); values from VASP
! **DOS at the Fermi energy**: 1.185 states/eV per atom
! **Total moment**: 0.3 Bohr magnetons per cell
! **E_form**: 0.09 eV/atom
! **Density**: 5.0 g cm⁻³
&SYSTEM
  ibrav = 0, nat = 12, ntyp = 3
/
ATOMIC_SPECIES
Mg 24.30 Mg.upf
La 138.91 La.upf
Nd 144.24 Nd.upf
CELL_PARAMETERS angstrom
5.968 0.000 0.000
2.984 8.850 1.283
2.984 1.270 7.784
ATOMIC_POSITIONS crystal
Mg 0.537 0.308 0.618
Mg 0.463 0.692 0.382
Mg 0.675 0.652 0.999
Mg 0.325 0.348 0.001
La 0.083 0.572 0.261
La 0.748 0.281 0.222
La 0.500 0.000 0.000
La 0.252 0.719 0.778
La 0.199 0.115 0.487
La 0.801 0.885 0.513
La 0.917 0.428 0.739
Nd 0.000 0.000 0.000

***

2.
! Na2FeBr4 (GGA-PBE, optimized geometry); values from VASP
! **DOS at the Fermi energy**: 0.931 states/eV per atom
! **Total moment**: 8.0 Bohr magnetons per cell
! **Formation energy without anion corrections**: -1021 meV/atom
! **Density**: 3.3 g cm⁻³
! **Offset from the most stable computed form**: 0.05 eV/f.u.
&SYSTEM
  ibrav = 0, nat = 14, ntyp = 3
/
ATOMIC_SPECIES
Fe 55.84 Fe.upf
Br 79.90 Br.upf
Na 22.99 Na.upf
CELL_PARAMETERS angstrom
-3.121 4.504 -4.488
-4.715 -5.486 -2.225
-4.031 0.611 7.036
ATOMIC_POSITIONS crystal
Fe 0.760 0.250 0.814
Fe 0.240 0.750 0.186
Br 0.520 0.005 0.752
Br 0.954 0.250 0.110
Br 0.480 0.995 0.248
Br 0.046 0.750 0.890
Br 0.966 0.250 0.622
Br 0.480 0.505 0.248
Br 0.520 0.495 0.752
Br 0.034 0.750 0.378
Na 0.284 0.250 0.446
Na 0.289 0.250 0.949
Na 0.716 0.750 0.554
Na 0.711 0.750 0.051

***

3.
! Sm3Sn2Pd (GGA-PBE, optimized geometry); values from VASP
! **DOS at the Fermi energy**: 0.734 states/eV per atom
! **Total moment**: 1.4 Bohr magnetons per cell
! **E_form**: -0.80 eV/atom
! **Density**: 7.9 g cm⁻³
&SYSTEM
  ibrav = 0, nat = 24, ntyp = 3
/
ATOMIC_SPECIES
Sn 118.71 Sn.upf
Sm 150.36 Sm.upf
Pd 106.42 Pd.upf
CELL_PARAMETERS angstrom
-2.488 3.739 0.904
-8.775 -6.813 4.031
4.861 0.480 11.392
ATOMIC_POSITIONS crystal
Sn 0.750 0.311 0.506
Sn 0.250 0.811 0.994
Sn 0.750 0.005 0.687
Sn 0.750 0.495 0.187
Sn 0.250 0.689 0.494
Sn 0.250 0.995 0.313
Sn 0.750 0.189 0.006
Sn 0.250 0.505 0.813
Sm 0.250 0.443 0.375
Sm 0.250 0.130 0.551
Sm 0.250 0.370 0.051
Sm 0.750 0.557 0.625
Sm 0.750 0.870 0.449
Sm 0.750 0.198 0.272
Sm 0.750 0.943 0.125
Sm 0.750 0.630 0.949
Sm 0.250 0.802 0.728
Sm 0.250 0.698 0.228
Sm 0.750 0.302 0.772
Sm 0.250 0.057 0.875
Pd 0.250 0.126 0.124
Pd 0.750 0.874 0.876
Pd 0.750 0.626 0.376
Pd 0.250 0.374 0.624

***

4.
! NaAgSbPd (GGA-PBE, optimized geometry); values from VASP
! **DOS at the Fermi energy**: 0.275 states/eV per atom
! **Total moment**: 0.0 Bohr magnetons per cell
! **Formation energy without anion corrections**: -255 meV/atom
! **Density**: 7.6 g cm⁻³
! **Offset from the most stable computed form**: 0.00 eV/f.u.
&SYSTEM
  ibrav = 0, nat = 8, ntyp = 4
/
ATOMIC_SPECIES
Ag 107.87 Ag.upf
Sb 121.76 Sb.upf
Na 22.99 Na.upf
Pd 106.42 Pd.upf
CELL_PARAMETERS angstrom
-2.079 4.233 -0.559
-4.142 -2.151 -0.877
-1.515 0.152 6.780
ATOMIC_POSITIONS crystal
Ag 0.750 0.250 0.500
Ag 0.250 0.750 0.500
Sb 0.250 0.250 0.220
Sb 0.750 0.750 0.780
Na 0.750 0.750 0.249
Na 0.250 0.250 0.751
Pd 0.250 0.750 0.000
Pd 0.750 0.250 0.000

***

5.
! Mg2NiH2 (GGA-PBE, optimized geometry); values from VASP
! **DOS at the Fermi energy**: 0.137 states/eV per atom
! **Total moment**: 0.0 Bohr magnetons per cell
! **Density**: 3.3 g cm⁻³
! **Offset from the most stable computed form**: 0.62 eV/f.u.
&SYSTEM
  ibrav = 0, nat = 5, ntyp = 3
/
ATOMIC_SPECIES
H 1.01 H.upf
Mg 24.30 Mg.upf
Ni 58.69 Ni.upf
CELL_PARAMETERS angstrom
-1.130 1.270 -2.630
-2.778 -1.340 0.547
-3.580 4.518 1.856
ATOMIC_POSITIONS crystal
H 0.250 0.750 0.500
H 0.750 0.250 0.500
Mg 0.355 0.355 0.290
Mg 0.645 0.645 0.710
Ni 0.000 0.000 0.000

***

6.
! TiAgBr4 (GGA-PBE, optimized geometry); values from VASP
! **DOS at the Fermi energy**: 0.654 states/eV per atom
! **Total moment**: 1.0 Bohr magnetons per cell
! **Formation energy without anion corrections**: -875 meV/atom
! **Density**: 4.2 g cm⁻³
! **Offset from the most stable computed form**: 0.00 eV/f.u.
&SYSTEM
  ibrav = 0, nat = 6, ntyp = 3
/
ATOMIC_SPECIES
Br 79.90 Br.upf
Ag 107.87 Ag.upf
Ti 47.87 Ti.upf
CELL_PARAMETERS angstrom
3.776 0.000 0.000
0.000 6.737 0.762
0.000 -0.598 7.338
ATOMIC_POSITIONS crystal
Br 0.000 0.795 0.712
Br 0.500 0.768 0.137
Br 0.500 0.232 0.863
Br 0.000 0.205 0.288
Ag 0.500 0.000 0.500
Ti 0.000 0.000 0.000

***

7.
! BaTmIn4 (GGA-PBE, optimized geometry); values from VASP
! **DOS at the Fermi energy**: 0.692 states/eV per atom
! **Total moment**: 0.0 Bohr magnetons per cell
! **E_form**: -0.27 eV/atom
! **Density**: 7.5 g cm⁻³
&SYSTEM
  ibrav = 0, nat = 6, ntyp = 3
/
ATOMIC_SPECIES
In 114.82 In.upf
Tm 168.93 Tm.upf
Ba 137.33 Ba.upf
CELL_PARAMETERS angstrom
6.220 0.000 0.000
3.110 5.387 0.000
3.110 1.796 5.079
ATOMIC_POSITIONS crystal
In 0.124 0.625 0.625
In 0.625 0.625 0.625
In 0.625 0.625 0.124
In 0.625 0.124 0.625
Tm 0.000 0.000 0.000
Ba 0.250 0.250 0.250

***

8.
! CaZrO2 (GGA-PBE, optimized geometry); values from VASP
! **DOS at the Fermi energy**: 0.515 states/eV per atom
! **Total moment**: 1.6 Bohr magnetons per cell
! **Formation energy without anion corrections**: -1874 meV/atom
! **Density**: 5.6 g cm⁻³
! **Offset from the most stable computed form**: 2.50 eV/f.u.
&SYSTEM
  ibrav = 0, nat = 4, ntyp = 3
/
ATOMIC_SPECIES
O 16.00 O.upf
Ca 40.08 Ca.upf
Zr 91.22 Zr.upf
CELL_PARAMETERS angstrom
0.000 2.894 2.894
2.894 0.000 2.894
2.894 2.894 0.000
ATOMIC_POSITIONS crystal
O 0.250 0.250 0.250
O 0.750 0.750 0.750
Ca 0.000 0.000 0.000
Zr 0.500 0.500 0.500

***

9.
! DyTm4Mg2 (GGA-PBE, optimized geometry); values from VASP
! **DOS at the Fermi energy**: 1.348 states/eV per atom
! **Total moment**: 0.0 Bohr magnetons per cell
! **E_form**: 0.07 eV/atom
! **Density**: 7.4 g cm⁻³
! **Offset from the most stable computed form**: 0.24 eV/f.u.
&SYSTEM
  ibrav = 0, nat = 7, ntyp = 3
/
ATOMIC_SPECIES
Dy 162.50 Dy.upf
Mg 24.30 Mg.upf
Tm 168.93 Tm.upf
CELL_PARAMETERS angstrom
5.376 0.000 0.000
2.688 4.655 0.000
2.688 1.552 7.974
ATOMIC_POSITIONS crystal
Dy 0.500 0.500 0.500
Mg 0.352 0.352 0.945
Mg 0.648 0.648 0.055
Tm 0.069 0.069 0.792
Tm 0.931 0.931 0.208
Tm 0.209 0.209 0.373
Tm 0.791 0.791 0.627

***

10.
! LiTmHg6 (GGA-PBE, optimized geometry); values from VASP
! **DOS at the Fermi energy**: 0.427 states/eV per atom
! **Total moment**: 0.0 Bohr magnetons per cell
! **E_form**: -0.25 eV/atom
! **Density**: 12.4 g cm⁻³
&SYSTEM
  ibrav = 0, nat = 8, ntyp = 3
/
ATOMIC_SPECIES
Hg 200.59 Hg.upf
Tm 168.93 Tm.upf
Li 6.94 Li.upf
CELL_PARAMETERS angstrom
-0.640 -1.468 4.787
4.781 -4.340 -0.692
1.353 6.020 2.027
ATOMIC_POSITIONS crystal
Hg 0.000 0.092 0.421
Hg 0.500 0.916 0.582
Hg 0.000 0.579 0.908
Hg 0.000 0.579 0.421
Hg 0.500 0.418 0.084
Hg 0.500 0.916 0.084
Tm 0.000 0.084 0.916
Li 0.500 0.416 0.584

***

11.
! Pm2TmCu2 (GGA-PBE, optimized geometry); values from VASP
! **DOS at the Fermi energy**: 1.336 states/eV per atom
! **Total moment**: 0.0 Bohr magnetons per cell
! **E_form**: -0.13 eV/atom
! **Density**: 7.9 g cm⁻³
! **Offset from the most stable computed form**: 0.00 eV/f.u.
&SYSTEM
  ibrav = 0, nat = 10, ntyp = 3
/
ATOMIC_SPECIES
Pm 145.00 Pm.upf
Cu 63.55 Cu.upf
Tm 168.93 Tm.upf
CELL_PARAMETERS angstrom
-1.661 -1.310 4.246
6.498 1.068 2.871
-1.749 6.821 1.421
ATOMIC_POSITIONS crystal
Pm 0.500 0.329 0.171
Pm 0.500 0.829 0.329
Pm 0.500 0.171 0.671
Pm 0.500 0.671 0.829
Cu 0.000 0.378 0.878
Cu 0.000 0.878 0.622
Cu 0.000 0.622 0.122
Cu 0.000 0.122 0.378
Tm 0.000 0.000 0.000
Tm 0.000 0.500 0.500

***

12.
! AlCu2Mo (GGA-PBE, optimized geometry); values from VASP
! **DOS at the Fermi energy**: 0.485 states/eV per atom
! **Total moment**: 0.0 Bohr magnetons per cell
! **E_form**: -0.04 eV/atom
! **Density**: 7.6 g cm⁻³
&SYSTEM
  ibrav = 0, nat = 4, ntyp = 3
/
ATOMIC_SPECIES
Cu 63.55 Cu.upf
Al 26.98 Al.upf
Mo 95.94 Mo.upf
CELL_PARAMETERS angstrom
-1.491 3.031 -1.586
-2.427 0.281 2.819
2.530 2.265 1.952
ATOMIC_POSITIONS crystal
Cu 0.500 0.500 0.000
Cu 0.000 0.000 0.000
Al 0.000 0.500 0.500
Mo 0.500 0.000 0.500

***

Look up the DOS at the Fermi energy of the fifth one. 0.137 states/eV per atom